(1)
## Ho2SiSe6 (PBE-GGA)

Data for a relaxed structure of Ho2SiSe6.

## Properties
Formation energy from raw total energies: -0.97 eV per atom
SG: No. 14

Unit cell a=6.811 b=7.422 c=8.580 alpha=90.00 beta=91.94 gamma=90.00
Fractional positions:
Ho (0.971, 0.387, 0.757)
Ho (0.529, 0.887, 0.743)
Ho (0.471, 0.113, 0.257)
Ho (0.029, 0.613, 0.243)
Si (0.500, 0.500, 0.000)
Si (0.000, 0.000, 0.500)
Se (0.854, 0.962, 0.243)
Se (0.832, 0.704, 0.559)
Se (0.803, 0.674, 0.934)
Se (0.697, 0.174, 0.566)
Se (0.668, 0.204, 0.941)
Se (0.646, 0.462, 0.257)
Se (0.146, 0.038, 0.757)
Se (0.168, 0.296, 0.441)
Se (0.197, 0.326, 0.066)
Se (0.303, 0.826, 0.434)
Se (0.332, 0.796, 0.059)
Se (0.354, 0.538, 0.743)

(2)
## Ho8SiSe6 (PBE-GGA)

Data for a relaxed structure of Ho8SiSe6.

## Properties
Formation energy from raw total energies: -1.24 eV per atom
SG: No. 147

Unit cell a=4.017 b=10.355 c=10.355 alpha=120.00 beta=90.00 gamma=90.00
Fractional positions:
Ho (0.745, 0.970, 0.270)
Ho (0.745, 0.730, 0.700)
Ho (0.745, 0.300, 0.030)
Ho (0.255, 0.030, 0.730)
Ho (0.255, 0.270, 0.300)
Ho (0.255, 0.700, 0.970)
Ho (0.748, 0.333, 0.667)
Ho (0.252, 0.667, 0.333)
Si (0.500, 0.000, 0.000)
Se (0.750, 0.650, 0.129)
Se (0.750, 0.871, 0.522)
Se (0.750, 0.478, 0.350)
Se (0.250, 0.350, 0.871)
Se (0.250, 0.129, 0.478)
Se (0.250, 0.522, 0.650)

(3)
## Ho5SiSe5 (PBE-GGA)

Data for a relaxed structure of Ho5SiSe5.

## Properties
Formation energy from raw total energies: -1.69 eV per atom
SG: No. 12

Unit cell a=5.736 b=7.065 c=8.122 alpha=106.74 beta=90.00 gamma=113.95
Fractional positions:
Ho (0.841, 0.683, 0.170)
Ho (0.839, 0.677, 0.671)
Ho (0.500, 0.000, 0.000)
Ho (0.161, 0.323, 0.329)
Ho (0.159, 0.317, 0.830)
Si (0.000, 0.000, 0.000)
Se (0.670, 0.341, 0.335)
Se (0.669, 0.339, 0.835)
Se (0.000, 0.000, 0.500)
Se (0.331, 0.661, 0.165)
Se (0.330, 0.659, 0.665)

(4)
## Ho6SiSe5 (PBE-GGA)

Data for a relaxed structure of Ho6SiSe5.

## Properties
Formation energy from raw total energies: -1.64 eV per atom
SG: No. 12

Unit cell a=7.052 b=7.052 c=7.071 alpha=99.56 beta=99.56 gamma=120.03
Fractional positions:
Si (0.000, 0.000, 0.000)
Ho (0.399, 0.080, 0.240)
Ho (0.920, 0.601, 0.760)
Ho (0.239, 0.239, 0.760)
Ho (0.761, 0.761, 0.240)
Ho (0.080, 0.399, 0.240)
Ho (0.601, 0.920, 0.760)
Se (0.830, 0.170, 0.500)
Se (0.666, 0.334, 0.000)
Se (0.500, 0.500, 0.500)
Se (0.334, 0.666, 0.000)
Se (0.170, 0.830, 0.500)

(5)
## Ho5Si2Se2 (PBE-GGA)

Data for a relaxed structure of Ho5Si2Se2.

## Properties
Formation energy from raw total energies: -1.14 eV per atom
SG: No. 64

Unit cell a=7.516 b=7.587 c=8.170 alpha=90.00 beta=62.61 gamma=90.00
Fractional positions:
Ho (0.000, 0.000, 0.000)
Ho (0.500, 0.500, 0.000)
Ho (0.465, 0.166, 0.735)
Ho (0.800, 0.834, 0.735)
Ho (0.300, 0.666, 0.735)
Ho (0.965, 0.334, 0.735)
Ho (0.535, 0.834, 0.265)
Ho (0.200, 0.166, 0.265)
Ho (0.700, 0.334, 0.265)
Ho (0.035, 0.666, 0.265)
Si (0.128, 0.373, 0.000)
Si (0.872, 0.627, 0.000)
Si (0.372, 0.873, 0.000)
Si (0.628, 0.127, 0.000)
Se (0.201, 0.000, 0.597)
Se (0.701, 0.500, 0.597)
Se (0.799, 0.000, 0.403)
Se (0.299, 0.500, 0.403)

(6)
## Ho4SiSe2 (PBE-GGA)

Data for a relaxed structure of Ho4SiSe2.

## Properties
Formation energy from raw total energies: -1.20 eV per atom
SG: No. 63

Unit cell a=4.004 b=6.793 c=13.511 alpha=90.00 beta=90.00 gamma=107.14
Fractional positions:
Ho (0.782, 0.565, 0.129)
Ho (0.782, 0.565, 0.371)
Ho (0.218, 0.435, 0.871)
Ho (0.218, 0.435, 0.629)
Ho (0.950, 0.900, 0.750)
Ho (0.050, 0.100, 0.250)
Ho (0.500, 0.000, 0.000)
Ho (0.500, 0.000, 0.500)
Si (0.605, 0.211, 0.750)
Si (0.395, 0.789, 0.250)
Se (0.140, 0.280, 0.437)
Se (0.860, 0.720, 0.937)
Se (0.140, 0.280, 0.063)
Se (0.860, 0.720, 0.563)

(7)
## Ho5SiSe4 (PBE-GGA)

Data for a relaxed structure of Ho5SiSe4.

## Properties
Formation energy from raw total energies: -1.61 eV per atom
SG: No. 87

Unit cell a=5.734 b=7.067 c=7.067 alpha=80.53 beta=66.07 gamma=66.07
Fractional positions:
Ho (0.905, 0.384, 0.809)
Ho (0.289, 0.809, 0.616)
Ho (0.713, 0.191, 0.384)
Ho (0.097, 0.616, 0.191)
Ho (0.501, 0.000, 0.000)
Si (0.001, 0.000, 0.000)
Se (0.404, 0.400, 0.794)
Se (0.804, 0.794, 0.600)
Se (0.198, 0.206, 0.400)
Se (0.598, 0.600, 0.206)

(8)
## Ho3Si5Se12 (PBE-GGA)

Data for a relaxed structure of Ho3Si5Se12.

## Properties
Formation energy from raw total energies: -0.76 eV per atom
SG: No. 230

Unit cell a=13.630 b=13.630 c=13.630 alpha=109.47 beta=109.47 gamma=109.47
Fractional positions:
Ho (0.750, 0.375, 0.125)
Ho (0.875, 0.750, 0.125)
Ho (0.375, 0.750, 0.625)
Ho (0.250, 0.125, 0.375)
Ho (0.875, 0.125, 0.250)
Ho (0.375, 0.625, 0.250)
Ho (0.625, 0.375, 0.750)
Ho (0.125, 0.875, 0.750)
Ho (0.750, 0.875, 0.625)
Ho (0.625, 0.250, 0.375)
Ho (0.125, 0.250, 0.875)
Ho (0.250, 0.625, 0.875)
Si (0.125, 0.375, 0.250)
Si (0.000, 0.500, 0.000)
Si (0.000, 0.000, 0.000)
Si (0.375, 0.250, 0.125)
Si (0.500, 0.000, 0.500)
Si (0.500, 0.500, 0.000)
Si (0.125, 0.750, 0.375)
Si (0.750, 0.125, 0.875)
Si (0.750, 0.625, 0.375)
Si (0.375, 0.125, 0.750)
Si (0.625, 0.875, 0.250)
Si (0.500, 0.500, 0.500)
Si (0.500, 0.000, 0.000)
Si (0.000, 0.000, 0.500)
Si (0.250, 0.375, 0.625)
Si (0.250, 0.875, 0.125)
Si (0.000, 0.500, 0.500)
Si (0.875, 0.250, 0.625)
Si (0.625, 0.750, 0.875)
Si (0.875, 0.625, 0.750)
Se (0.714, 0.127, 0.032)
Se (0.318, 0.532, 0.406)
Se (0.968, 0.373, 0.286)
Se (0.532, 0.214, 0.127)
Se (0.588, 0.714, 0.682)
Se (0.968, 0.594, 0.182)
Se (0.318, 0.786, 0.412)
Se (0.094, 0.912, 0.127)
Se (0.594, 0.968, 0.682)
Se (0.714, 0.588, 0.182)
Se (0.786, 0.468, 0.373)
Se (0.818, 0.906, 0.032)
Se (0.127, 0.714, 0.532)
Se (0.373, 0.406, 0.088)
Se (0.088, 0.906, 0.373)
Se (0.412, 0.127, 0.594)
Se (0.088, 0.182, 0.214)
Se (0.468, 0.682, 0.094)
Se (0.818, 0.912, 0.286)
Se (0.127, 0.412, 0.094)
Se (0.373, 0.968, 0.786)
Se (0.594, 0.627, 0.412)
Se (0.906, 0.818, 0.532)
Se (0.786, 0.318, 0.912)
Se (0.406, 0.373, 0.588)
Se (0.094, 0.182, 0.468)
Se (0.214, 0.682, 0.088)
Se (0.182, 0.088, 0.714)
Se (0.627, 0.032, 0.214)
Se (0.873, 0.588, 0.906)
Se (0.532, 0.318, 0.906)
Se (0.588, 0.873, 0.406)
Se (0.912, 0.818, 0.786)
Se (0.912, 0.094, 0.627)
Se (0.873, 0.286, 0.468)
Se (0.182, 0.094, 0.968)
Se (0.627, 0.594, 0.912)
Se (0.406, 0.032, 0.318)
Se (0.286, 0.412, 0.818)
Se (0.214, 0.532, 0.627)
Se (0.906, 0.088, 0.873)
Se (0.682, 0.214, 0.588)
Se (0.468, 0.786, 0.873)
Se (0.032, 0.406, 0.818)
Se (0.412, 0.286, 0.318)
Se (0.032, 0.627, 0.714)
Se (0.682, 0.468, 0.594)
Se (0.286, 0.873, 0.968)

Number 1: calculated volume 216.7 Å³/f.u., final energy -4.92 eV per atom. Number 2: calculated volume 373.1 Å³/f.u., final energy -5.44 eV per atom. Number 3: calculated volume 285.4 Å³/f.u., final energy -5.85 eV per atom. Number 4: calculated volume 287.2 Å³/f.u., final energy -5.83 eV per atom. Number 5: calculated volume 206.8 Å³/f.u., final energy -5.66 eV per atom. Number 6: calculated volume 175.6 Å³/f.u., final energy -5.59 eV per atom. Number 7: calculated volume 239.2 Å³/f.u., final energy -5.84 eV per atom. Number 8: calculated volume 487.3 Å³/f.u., final energy -4.90 eV per atom.